(1)
Material: HoSc2Pd
Method: DFT, PBE
State: optimized geometry

Structure (CIF):
```
data_HoSc2Pd
_chemical_formula_sum 'Ho3 Sc6 Pd3'
_cell_length_a 4.819
_cell_length_b 4.819
_cell_length_c 13.311
_cell_angle_alpha 90.00
_cell_angle_beta 90.00
_cell_angle_gamma 120.00
_symmetry_space_group_name_H-M 'P 1'
_symmetry_Int_Tables_number 1
loop_
_symmetry_equiv_pos_as_xyz
'x,y,z'
loop_
_atom_site_label
_atom_site_type_symbol
_atom_site_fract_x
_atom_site_fract_y
_atom_site_fract_z
Ho1 Ho 0.000 0.000 0.000
Ho2 Ho 0.333 0.667 0.667
Ho3 Ho 0.667 0.333 0.333
Sc1 Sc 0.000 0.000 0.232
Sc2 Sc 0.000 0.000 0.768
Sc3 Sc 0.333 0.667 0.435
Sc4 Sc 0.333 0.667 0.899
Sc5 Sc 0.667 0.333 0.101
Sc6 Sc 0.667 0.333 0.565
Pd1 Pd 0.000 0.000 0.500
Pd2 Pd 0.333 0.667 0.167
Pd3 Pd 0.667 0.333 0.833
```



(2)
Material: HoSc2Pd
Method: DFT, PBE
State: optimized geometry

Structure (CIF):
```
data_HoSc2Pd
_chemical_formula_sum 'Ho4 Sc8 Pd4'
_cell_length_a 6.579
_cell_length_b 9.418
_cell_length_c 6.092
_cell_angle_alpha 90.00
_cell_angle_beta 90.00
_cell_angle_gamma 90.00
_symmetry_space_group_name_H-M 'P 1'
_symmetry_Int_Tables_number 1
loop_
_symmetry_equiv_pos_as_xyz
'x,y,z'
loop_
_atom_site_label
_atom_site_type_symbol
_atom_site_fract_x
_atom_site_fract_y
_atom_site_fract_z
Ho1 Ho 0.009 0.250 0.118
Ho2 Ho 0.491 0.750 0.618
Ho3 Ho 0.509 0.250 0.382
Ho4 Ho 0.991 0.750 0.882
Sc1 Sc 0.177 0.052 0.679
Sc2 Sc 0.177 0.448 0.679
Sc3 Sc 0.323 0.552 0.179
Sc4 Sc 0.323 0.948 0.179
Sc5 Sc 0.677 0.052 0.821
Sc6 Sc 0.677 0.448 0.821
Sc7 Sc 0.823 0.552 0.321
Sc8 Sc 0.823 0.948 0.321
Pd1 Pd 0.104 0.750 0.426
Pd2 Pd 0.396 0.250 0.926
Pd3 Pd 0.604 0.750 0.074
Pd4 Pd 0.896 0.250 0.574
```



Energy ordering: (2) at the bottom, the next structure 306 meV per atom above.



(1)
Material: HoScTlPd
Method: DFT, PBE
State: optimized geometry

Structure (CIF):
```
data_HoScTlPd
_chemical_formula_sum 'Ho4 Sc4 Tl4 Pd4'
_cell_length_a 7.111
_cell_length_b 7.111
_cell_length_c 7.111
_cell_angle_alpha 90.00
_cell_angle_beta 90.00
_cell_angle_gamma 90.00
_symmetry_space_group_name_H-M 'P 1'
_symmetry_Int_Tables_number 1
loop_
_symmetry_equiv_pos_as_xyz
'x,y,z'
loop_
_atom_site_label
_atom_site_type_symbol
_atom_site_fract_x
_atom_site_fract_y
_atom_site_fract_z
Ho1 Ho 0.000 0.000 0.000
Ho2 Ho 0.000 0.500 0.500
Ho3 Ho 0.500 0.000 0.500
Ho4 Ho 0.500 0.500 0.000
Sc1 Sc 0.000 0.000 0.500
Sc2 Sc 0.000 0.500 0.000
Sc3 Sc 0.500 0.000 0.000
Sc4 Sc 0.500 0.500 0.500
Tl1 Tl 0.250 0.250 0.250
Tl2 Tl 0.250 0.750 0.750
Tl3 Tl 0.750 0.250 0.750
Tl4 Tl 0.750 0.750 0.250
Pd1 Pd 0.250 0.250 0.750
Pd2 Pd 0.250 0.750 0.250
Pd3 Pd 0.750 0.250 0.250
Pd4 Pd 0.750 0.750 0.750
```



(2)
Material: HoScTlPd
Method: DFT, PBE
State: optimized geometry

Structure (CIF):
```
data_HoScTlPd
_chemical_formula_sum 'Ho1 Sc1 Tl1 Pd1'
_cell_length_a 3.487
_cell_length_b 3.487
_cell_length_c 7.365
_cell_angle_alpha 90.00
_cell_angle_beta 90.00
_cell_angle_gamma 90.00
_symmetry_space_group_name_H-M 'P 1'
_symmetry_Int_Tables_number 1
loop_
_symmetry_equiv_pos_as_xyz
'x,y,z'
loop_
_atom_site_label
_atom_site_type_symbol
_atom_site_fract_x
_atom_site_fract_y
_atom_site_fract_z
Ho1 Ho 0.000 0.000 0.000
Sc1 Sc 0.000 0.000 0.557
Tl1 Tl 0.500 0.500 0.298
Pd1 Pd 0.500 0.500 0.751
```



Energy ordering: (2) at the bottom, the next structure 74 meV per atom above.



(1)
Material: HoScZnPd
Method: DFT, PBE
State: optimized geometry

Structure (CIF):
```
data_HoScZnPd
_chemical_formula_sum 'Ho4 Sc4 Zn4 Pd4'
_cell_length_a 6.866
_cell_length_b 6.866
_cell_length_c 6.866
_cell_angle_alpha 90.00
_cell_angle_beta 90.00
_cell_angle_gamma 90.00
_symmetry_space_group_name_H-M 'P 1'
_symmetry_Int_Tables_number 1
loop_
_symmetry_equiv_pos_as_xyz
'x,y,z'
loop_
_atom_site_label
_atom_site_type_symbol
_atom_site_fract_x
_atom_site_fract_y
_atom_site_fract_z
Ho1 Ho 0.000 0.000 0.000
Ho2 Ho 0.000 0.500 0.500
Ho3 Ho 0.500 0.000 0.500
Ho4 Ho 0.500 0.500 0.000
Sc1 Sc 0.000 0.000 0.500
Sc2 Sc 0.000 0.500 0.000
Sc3 Sc 0.500 0.000 0.000
Sc4 Sc 0.500 0.500 0.500
Zn1 Zn 0.250 0.250 0.250
Zn2 Zn 0.250 0.750 0.750
Zn3 Zn 0.750 0.250 0.750
Zn4 Zn 0.750 0.750 0.250
Pd1 Pd 0.250 0.250 0.750
Pd2 Pd 0.250 0.750 0.250
Pd3 Pd 0.750 0.250 0.250
Pd4 Pd 0.750 0.750 0.750
```



(2)
Material: HoScZnPd
Method: DFT, PBE
State: optimized geometry

Structure (CIF):
```
data_HoScZnPd
_chemical_formula_sum 'Ho1 Sc1 Zn1 Pd1'
_cell_length_a 3.437
_cell_length_b 3.437
_cell_length_c 6.795
_cell_angle_alpha 90.00
_cell_angle_beta 90.00
_cell_angle_gamma 90.00
_symmetry_space_group_name_H-M 'P 1'
_symmetry_Int_Tables_number 1
loop_
_symmetry_equiv_pos_as_xyz
'x,y,z'
loop_
_atom_site_label
_atom_site_type_symbol
_atom_site_fract_x
_atom_site_fract_y
_atom_site_fract_z
Ho1 Ho 0.000 0.000 0.000
Sc1 Sc 0.000 0.000 0.495
Zn1 Zn 0.500 0.500 0.722
Pd1 Pd 0.500 0.500 0.268
```



Energy ordering: (2) at the bottom, the next structure 33 meV per atom above.